Entry 1:
Entry from the Alexandria database: crystalline RbTlPb at its relaxed geometry (PBE).

Structure (POSCAR):
```
RbTlPb
1.0
3.9945 0.0000 0.0000
1.9919 7.4562 0.0000
1.9958 3.2092 8.2936
Rb Tl Pb
2 2 2
direct
0.0604 0.1622 0.2167
0.9396 0.8378 0.7833
0.3346 0.6528 0.1781
0.6654 0.3472 0.8219
0.3238 0.3206 0.5311
0.6762 0.6794 0.4689
```

Computed properties:
The formation energy comes out at -0.11 eV/atom. For the total energy, the calculation gives -14.8 eV per cell. The calculation puts the magnetic moment at 0.000 μB per cell. Its density of states at the Fermi level is 0.449 states/eV/atom.

Entry 2:
Entry from the Alexandria database: crystalline Ba2Cd3HgPb4 at its relaxed geometry (PBE).

Structure (POSCAR):
```
Ba2Cd3HgPb4
1.0
5.0986 0.0000 0.0000
0.0000 5.0986 0.0000
0.0000 0.0000 12.5359
Ba Cd Hg Pb
2 3 1 4
direct
0.0000 0.5000 0.2371
0.5000 0.0000 0.7629
0.0000 0.0000 0.0000
0.0000 0.5000 0.6371
0.5000 0.0000 0.3629
0.5000 0.5000 0.0000
0.0000 0.0000 0.5000
0.0000 0.5000 0.8681
0.5000 0.0000 0.1319
0.5000 0.5000 0.5000
```

Computed properties:
The formation energy comes out at -0.31 eV/atom. For the total energy, the calculation gives -24.8 eV per cell. The calculation puts the magnetic moment at 0.000 μB per cell. Its density of states at the Fermi level is 0.283 states/eV/atom.

Entry 3:
Entry from the Alexandria database: crystalline NpI2Cl8 at its relaxed geometry (PBE).

Structure (POSCAR):
```
NpI2Cl8
1.0
8.1359 -3.7250 0.0000
8.1359 3.7250 0.0000
-2.1649 0.0000 7.2989
Np I Cl
1 2 8
direct
0.0000 0.0000 0.0000
0.2536 0.2536 0.4701
0.7464 0.7464 0.5299
0.0742 0.0742 0.3512
0.1334 0.6666 0.0440
0.3334 0.8666 0.9560
0.4055 0.4055 0.5709
0.5945 0.5945 0.4291
0.6666 0.1334 0.0440
0.8666 0.3334 0.9560
0.9258 0.9258 0.6488
```

Computed properties:
For the total energy, the calculation gives -40.2 eV per cell. The value obtained for the formation energy (no corrections) is -903 kJ/mol of formula units. The calculation puts the magnetic moment at 1.764 μB per cell. Its density of states at the Fermi level is 0.723 states/eV/atom.

Entry 4:
Entry from the Alexandria database: crystalline Li2TaCo at its relaxed geometry (PBE).

Structure (POSCAR):
```
Li2TaCo
1.0
6.9013 0.0000 0.0000
0.0000 6.9013 0.0000
0.0000 0.0000 4.7954
Li Ta Co
8 4 4
direct
0.2129 0.7500 0.1250
0.2500 0.2129 0.8750
0.2500 0.2871 0.3750
0.2871 0.7500 0.6250
0.7129 0.2500 0.6250
0.7500 0.7129 0.3750
0.7500 0.7871 0.8750
0.7871 0.2500 0.1250
0.0000 0.0000 0.5000
0.0000 0.5000 0.7500
0.5000 0.0000 0.2500
0.5000 0.5000 0.0000
0.0000 0.0000 0.0000
0.0000 0.5000 0.2500
0.5000 0.0000 0.7500
0.5000 0.5000 0.5000
```

Computed properties:
The excess energy over the best structure of this formula in the dataset comes out at 582.8 meV/atom. The formation energy comes out at 0.75 eV/atom. For the total energy, the calculation gives -79.2 eV per cell. The calculation puts the magnetic moment at 5.109 μB per cell. Its density of states at the Fermi level is 0.947 states/eV/atom.

Entry 5:
Entry from the Alexandria database: crystalline K2RePd at its relaxed geometry (PBE).

Structure (POSCAR):
```
K2RePd
1.0
12.1195 0.0000 0.0000
0.0000 12.1195 0.0000
0.0000 0.0000 4.8448
K Re Pd
8 4 4
direct
0.0808 0.2500 0.1250
0.2500 0.5808 0.3750
0.2500 0.9192 0.8750
0.4192 0.2500 0.6250
0.5808 0.7500 0.6250
0.7500 0.0808 0.8750
0.7500 0.4192 0.3750
0.9192 0.7500 0.1250
0.0000 0.0000 0.5000
0.0000 0.5000 0.7500
0.5000 0.0000 0.2500
0.5000 0.5000 0.0000
0.0000 0.0000 0.0000
0.0000 0.5000 0.2500
0.5000 0.0000 0.7500
0.5000 0.5000 0.5000
```

Computed properties:
The excess energy over the best structure of this formula in the dataset comes out at 0.0 meV/atom. The formation energy comes out at 1.25 eV/atom. For the total energy, the calculation gives -59.4 eV per cell. The calculation puts the magnetic moment at 13.094 μB per cell. Its density of states at the Fermi level is 0.849 states/eV/atom.

Entry 6:
Entry from the Alexandria database: crystalline CoAgPb3 at its relaxed geometry (PBE).

Structure (POSCAR):
```
CoAgPb3
1.0
5.0934 0.0000 0.0000
0.0000 5.0934 0.0000
0.0000 0.0000 5.0934
Co Ag Pb
1 1 3
direct
0.0000 0.0000 0.0000
0.5000 0.5000 0.5000
0.0000 0.0000 0.5000
0.0000 0.5000 0.0000
0.5000 0.0000 0.0000
```

Computed properties:
The excess energy over the best structure of this formula in the dataset comes out at 0.0 meV/atom. The formation energy comes out at 0.32 eV/atom. For the total energy, the calculation gives -19.5 eV per cell. The calculation puts the magnetic moment at 0.831 μB per cell. Its density of states at the Fermi level is 0.808 states/eV/atom.

Entry 7:
Entry from the Alexandria database: crystalline SnPbC3 at its relaxed geometry (PBE).

Structure (POSCAR):
```
SnPbC3
1.0
4.5221 0.0000 0.0000
0.0000 4.5221 0.0000
0.0000 0.0000 4.5221
Sn Pb C
1 1 3
direct
0.0000 0.0000 0.0000
0.5000 0.5000 0.5000
0.0000 0.5000 0.5000
0.5000 0.0000 0.5000
0.5000 0.5000 0.0000
```

Computed properties:
The excess energy over the best structure of this formula in the dataset comes out at 475.5 meV/atom. The formation energy comes out at 3.14 eV/atom. For the total energy, the calculation gives -19.7 eV per cell. The calculation puts the magnetic moment at 2.465 μB per cell. Its density of states at the Fermi level is 0.961 states/eV/atom.

Entry 8:
Entry from the Alexandria database: crystalline LaP3F at its relaxed geometry (PBE).

Structure (POSCAR):
```
LaP3F
1.0
5.5644 0.0000 0.0000
0.0000 5.5644 0.0000
0.0000 0.0000 5.5644
La P F
1 3 1
direct
0.0000 0.0000 0.0000
0.0000 0.0000 0.5000
0.0000 0.5000 0.0000
0.5000 0.0000 0.0000
0.5000 0.5000 0.5000
```

Computed properties:
The excess energy over the best structure of this formula in the dataset comes out at 1272.5 meV/atom. For the total energy, the calculation gives -18.6 eV per cell. The value obtained for the formation energy (no corrections) is 428 kJ/mol of formula units. The calculation puts the magnetic moment at 0.679 μB per cell. Its density of states at the Fermi level is 1.406 states/eV/atom.

Entry 9:
Entry from the Alexandria database: crystalline Np2Ga4Ir3 at its relaxed geometry (PBE).

Structure (POSCAR):
```
Np2Ga4Ir3
1.0
0.0000 4.7853 6.1963
2.7631 0.0000 6.1963
2.7631 4.7853 0.0000
Np Ga Ir
2 4 3
direct
0.1125 0.1125 0.8875
0.8875 0.8875 0.1125
0.1682 0.4975 0.5025
0.4975 0.1682 0.8318
0.5025 0.8318 0.1682
0.8318 0.5025 0.4975
0.0000 0.0000 0.5000
0.5000 0.5000 0.0000
0.5000 0.5000 0.5000
```

Computed properties:
The formation energy comes out at -0.35 eV/atom. For the total energy, the calculation gives -67.7 eV per cell. The calculation puts the magnetic moment at 7.282 μB per cell. Its density of states at the Fermi level is 2.060 states/eV/atom.

Entry 10:
Entry from the Alexandria database: crystalline CsAuF4 at its relaxed geometry (PBE).

Structure (POSCAR):
```
CsAuF4
1.0
6.6317 0.0000 0.0000
0.0000 5.2093 0.0000
-4.3364 0.0000 7.8314
Cs Au F
2 2 8
direct
0.0000 0.0000 0.0000
0.0000 0.5000 0.5000
0.5000 0.0000 0.5000
0.5000 0.5000 0.0000
0.1615 0.0051 0.3920
0.1615 0.4949 0.8920
0.4801 0.7235 0.3442
0.4801 0.7765 0.8442
0.5199 0.2235 0.1558
0.5199 0.2765 0.6558
0.8385 0.5051 0.1080
0.8385 0.9949 0.6080
```

Computed properties:
For the total energy, the calculation gives -44.6 eV per cell. The value obtained for the formation energy (no corrections) is -1031 kJ/mol of formula units. The calculation puts the magnetic moment at 0.000 μB per cell. Its density of states at the Fermi level is 0.000 states/eV/atom.

Entry 11:
Entry from the Alexandria database: crystalline CsSn5Au6 at its relaxed geometry (PBE).

Structure (POSCAR):
```
CsSn5Au6
1.0
4.4439 -5.3135 0.0000
4.4439 5.3135 0.0000
-2.4152 0.0000 7.0897
Cs Sn Au
1 5 6
direct
0.0000 0.0000 0.0000
0.0011 0.9989 0.5000
0.3452 0.6548 0.5000
0.3575 0.6425 0.0000
0.6427 0.3573 0.0000
0.6553 0.3447 0.5000
0.0313 0.5937 0.1991
0.3202 0.3200 0.6509
0.4063 0.9687 0.8009
0.5933 0.0310 0.1988
0.6800 0.6798 0.3491
0.9690 0.4067 0.8012
```

Computed properties:
The formation energy comes out at -0.13 eV/atom. For the total energy, the calculation gives -42.1 eV per cell. The calculation puts the magnetic moment at 0.000 μB per cell. Its density of states at the Fermi level is 0.323 states/eV/atom.

Entry 12:
Entry from the Alexandria database: crystalline LiGa2Ge2 at its relaxed geometry (PBE).

Structure (POSCAR):
```
LiGa2Ge2
1.0
7.5006 0.0000 0.0000
0.0000 7.5006 0.0000
0.0000 0.0000 3.3773
Li Ga Ge
2 4 4
direct
0.0000 0.0000 0.0000
0.5000 0.5000 0.0000
0.1374 0.3626 0.0000
0.3626 0.8626 0.0000
0.6374 0.1374 0.0000
0.8626 0.6374 0.0000
0.1596 0.6596 0.5000
0.3404 0.1596 0.5000
0.6596 0.8404 0.5000
0.8404 0.3404 0.5000
```

Computed properties:
The excess energy over the best structure of this formula in the dataset comes out at 46.5 meV/atom. The formation energy comes out at 0.02 eV/atom. For the total energy, the calculation gives -34.2 eV per cell. The calculation puts the magnetic moment at 0.000 μB per cell. Its density of states at the Fermi level is 0.427 states/eV/atom.